Here is a relaxed BiB2Te crystal from the Alexandria database. Energies are from GGA-PBE.

Computed properties:
Its space-group type is I-42d. As for the magnetic moment: 0.0 μB per formula unit. The calculation puts the energy above the most stable polymorph in this dataset at 0.0 meV per atom. As for the formation energy from raw total energies: 21.7 kcal/mol of atoms. As for the mass density: 7.3 g cm⁻³.

a = 5.762 Å, b = 5.762 Å, c = 6.389 Å
α = 63.20°, β = 63.20°, γ = 90.00°
Positions (direct):
Bi  0.000  0.000  0.000
Bi  0.750  0.250  0.500
B  0.375  0.397  0.750
B  0.875  0.853  0.750
B  0.147  0.625  0.250
B  0.603  0.125  0.250
Te  0.250  0.750  0.500
Te  0.500  0.500  0.000